1.
A relaxed structure of Tl3Hg2Cl7, computed with GGA-PBE.

a = 5.4093 Å, b = 5.4093 Å, c = 25.7478 Å
α = 90.00°, β = 90.00°, γ = 90.00°
Closest atoms and distances in Å follow each position.
Space group I4/mmm (No. 139)
Inequivalent atoms, fractional coordinates:
Tl: 0.0000 0.0000 0.0000 [2 per cell]  12 Cl 3.68-3.82
Tl: 0.0000 0.0000 0.1766 [4 per cell]  5 Cl 3.10-3.40
Hg: 0.0000 0.0000 0.3964 [4 per cell]  6 Cl 2.56-2.71
Cl: 0.0000 0.0000 0.2970 [4 per cell]  1 Hg 2.56
Cl: 0.0000 0.0000 0.5000 [2 per cell]  2 Hg 2.67
Cl: 0.0000 0.5000 0.0967 [8 per cell]  2 Hg 2.71

Properties
total DFT energy (no corrections): -59.70 eV/cell
ΔE_f (raw): -0.77 eV per atom
relative energy among the computed polymorphs: 0 meV/atom


2.
A relaxed structure of TlHg5Cl11, computed with GGA-PBE.

a = 12.1711 Å, b = 14.8143 Å, c = 6.6475 Å
α = 90.00°, β = 118.27°, γ = 90.00°
Closest atoms and distances in Å follow each position.
Space group C2/m (No. 12)
Inequivalent atoms, fractional coordinates:
Tl: 0.0000 0.0000 0.0000 [2 per cell]  6 Cl 3.32-3.63
Hg: 0.0000 0.5000 0.0000 [2 per cell]  2 Cl 2.33
Hg: 0.1856 0.1666 0.6852 [8 per cell]  2 Cl 2.33-2.35
Cl: 0.0000 0.0000 0.5000 [2 per cell]  4 Hg 3.17, 2 Tl 3.32
Cl: 0.0806 0.2135 0.3027 [8 per cell]  1 Hg 2.35
Cl: 0.1468 0.5000 0.3857 [4 per cell]  1 Hg 2.33
Cl: 0.2094 0.3757 0.9311 [8 per cell]  1 Hg 2.33

Properties
total DFT energy (no corrections): -70.45 eV/cell
ΔE_f (raw): -0.65 eV per atom


3.
A relaxed structure of TlHg2Cl, computed with GGA-PBE.

a = 4.5276 Å, b = 4.5373 Å, c = 12.7309 Å
α = 90.00°, β = 100.07°, γ = 90.00°
Closest atoms and distances in Å follow each position.
Space group P2_1/m (No. 11)
Inequivalent atoms, fractional coordinates:
Tl: 0.1854 0.2500 0.3670 [2 per cell]  5 Cl 3.01-3.22
Hg: 0.0503 0.7500 0.0981 [2 per cell]  6 Hg 3.24-3.35
Hg: 0.4293 0.7500 0.8611 [2 per cell]  4 Hg 3.24-3.25
Cl: 0.3026 0.2500 0.6068 [2 per cell]  5 Tl 3.01-3.22

Properties
total DFT energy (no corrections): -13.44 eV/cell
ΔE_f (raw): -0.48 eV per atom
relative energy among the computed polymorphs: 0 meV/atom